No. 1
This record from the Alexandria database describes an optimized crystal structure of Cs4Ac3FeO8. The functional is PBE with a Hubbard U.

Its crystal system is monoclinic. The uncorrected energy comes out at -189.15 eV per cell.

It has space group C2/m (No. 12), with a = 13.531 Å, b = 7.402 Å, c = 8.126 Å, α = 90.00°, β = 120.08° and γ = 90.00°. The distinct sites, in fractional coordinates, are Cs at (0.000, 0.000, 0.000), Cs at (0.000, 0.500, 0.000), Cs at (0.250, 0.250, 0.000), Ac at (0.000, 0.000, 0.500), Ac at (0.250, 0.250, 0.500), Fe at (0.000, 0.500, 0.500), O at (0.028, 0.296, 0.354), O at (0.214, 0.000, 0.675) and O at (0.234, 0.000, 0.286).

No. 2
This record from the Alexandria database describes an optimized crystal structure of CsAc4Fe3O12. The functional is PBE with a Hubbard U.

Its crystal system is cubic. The density of states at the Fermi level is 0.653 states/eV/atom. The uncorrected energy comes out at -264.51 eV per cell.

It has space group Im-3 (No. 204), with a = 8.790 Å, b = 8.790 Å, c = 8.790 Å, α = 90.00°, β = 90.00° and γ = 90.00°. The distinct sites, in fractional coordinates, are Cs at (0.000, 0.000, 0.000), Ac at (0.250, 0.250, 0.250), Fe at (0.000, 0.000, 0.500) and O at (0.000, 0.145, 0.344).